# 1
Entry from the Alexandria database: Ca2PRu after structural relaxation (PBEsol).

Calculated values
- Final energy: -22.40 eV per cell
- Energy of formation from the pure elements: -0.5431 eV per atom
- SG: Amm2, No. 38

Lattice parameters (Å, degrees): 4.011 4.406 5.474 113.73 90.00 90.00
Atoms (fractional coordinates):
Ru: 0.500 0.701 0.402
Ca: 0.000 0.105 0.211
Ca: 0.500 0.394 0.788
P: 0.000 0.803 0.606


# 2
Entry from the Alexandria database: Sr2AgPb after structural relaxation (PBEsol).

Calculated values
- Final energy: -11.85 eV per cell
- Energy of formation from the pure elements: -0.2161 eV per atom
- SG: Pmm2, No. 25

Lattice parameters (Å, degrees): 3.940 5.386 6.579 90.00 90.00 90.00
Atoms (fractional coordinates):
Ag: 0.000 0.000 0.380
Pb: 0.500 0.500 0.870
Sr: 0.000 0.000 0.879
Sr: 0.500 0.500 0.371


# 3
Entry from the Alexandria database: YBe2 after structural relaxation (PBEsol).

Calculated values
- Final energy: -29.22 eV per cell
- Energy of formation from the pure elements: 0.0700 eV per atom
- SG: C2/m, No. 12

Lattice parameters (Å, degrees): 3.694 5.372 5.610 112.83 109.22 90.00
Atoms (fractional coordinates):
Y: 0.823 0.315 0.647
Y: 0.177 0.685 0.353
Be: 0.902 0.879 0.803
Be: 0.098 0.121 0.197
Be: 0.510 0.199 0.020
Be: 0.490 0.801 0.980


# 4
Entry from the Alexandria database: K2TcCl5O after structural relaxation (PBEsol).

Calculated values
- Final energy: -164.85 eV per cell
- Raw formation energy: -1.38 eV per atom
- SG: Pnma, No. 62

Lattice parameters (Å, degrees): 6.750 9.859 13.044 90.00 90.00 90.00
Atoms (fractional coordinates):
K: 0.835 0.999 0.144
K: 0.665 0.501 0.644
K: 0.165 0.499 0.856
K: 0.335 0.001 0.356
K: 0.165 0.001 0.856
K: 0.335 0.499 0.356
K: 0.835 0.501 0.144
K: 0.665 0.999 0.644
Tc: 0.335 0.250 0.092
Tc: 0.165 0.250 0.592
Tc: 0.665 0.750 0.908
Tc: 0.835 0.750 0.408
Cl: 0.105 0.250 0.247
Cl: 0.395 0.250 0.747
Cl: 0.895 0.750 0.753
Cl: 0.605 0.750 0.253
Cl: 0.312 0.488 0.107
Cl: 0.188 0.012 0.607
Cl: 0.688 0.988 0.893
Cl: 0.812 0.512 0.393
Cl: 0.688 0.512 0.893
Cl: 0.812 0.988 0.393
Cl: 0.312 0.012 0.107
Cl: 0.188 0.488 0.607
Cl: 0.579 0.250 0.222
Cl: 0.921 0.250 0.722
Cl: 0.421 0.750 0.778
Cl: 0.079 0.750 0.278
Cl: 0.033 0.250 0.001
Cl: 0.467 0.250 0.501
Cl: 0.967 0.750 0.999
Cl: 0.533 0.750 0.499
O: 0.486 0.250 0.995
O: 0.014 0.250 0.495
O: 0.514 0.750 0.005
O: 0.986 0.750 0.505


# 5
Entry from the Alexandria database: SiNiPd after structural relaxation (PBEsol).

Calculated values
- Final energy: -59.87 eV per cell
- Raw formation energy: -0.70 eV per atom
- SG: P-62m, No. 189

Lattice parameters (Å, degrees): 3.475 6.064 6.064 120.00 90.00 90.00
Atoms (fractional coordinates):
Si: 0.000 0.333 0.667
Si: 0.000 0.667 0.333
Si: 0.500 0.000 0.000
Ni: 0.000 0.253 0.000
Ni: 0.000 0.747 0.747
Ni: 0.000 0.000 0.253
Pd: 0.500 0.599 0.000
Pd: 0.500 0.401 0.401
Pd: 0.500 0.000 0.599


# 6
Entry from the Alexandria database: Ag3As after structural relaxation (PBEsol).

Calculated values
- Final energy: -14.70 eV per cell
- Energy of formation from the pure elements: 0.0853 eV per atom
- SG: Pmmm, No. 47

Lattice parameters (Å, degrees): 2.901 4.073 5.763 90.00 90.00 90.00
Atoms (fractional coordinates):
As: 0.000 0.000 0.000
Ag: 0.500 0.500 0.749
Ag: 0.000 0.000 0.500
Ag: 0.500 0.500 0.251


# 7
Entry from the Alexandria database: RbCd2Au2 after structural relaxation (PBEsol).

Calculated values
- Energy above the lowest structure with this stoichiometry: 0.114 eV per formula unit
- Final energy: -23.92 eV per cell
- Energy of formation from the pure elements: -0.1381 eV per atom
- SG: P4/mbm, No. 127

Lattice parameters (Å, degrees): 2.906 8.725 8.725 90.00 90.00 90.00
Atoms (fractional coordinates):
Au: 0.000 0.332 0.832
Au: 0.000 0.832 0.668
Au: 0.000 0.668 0.168
Au: 0.000 0.168 0.332
Rb: 0.000 0.000 0.000
Rb: 0.000 0.500 0.500
Cd: 0.500 0.126 0.626
Cd: 0.500 0.626 0.874
Cd: 0.500 0.874 0.374
Cd: 0.500 0.374 0.126


# 8
Entry from the Alexandria database: As2S2O9 after structural relaxation (PBEsol).

Calculated values
- Final energy: -328.60 eV per cell
- Raw formation energy: -1.22 eV per atom
- SG: P2_1/c, No. 14

Lattice parameters (Å, degrees): 6.616 6.567 17.008 90.00 95.72 90.00
Atoms (fractional coordinates):
As: 0.008 0.003 0.501
As: 0.008 0.997 0.001
As: 0.886 0.853 0.671
As: 0.886 0.147 0.171
As: 0.516 0.353 0.757
As: 0.516 0.647 0.257
As: 0.393 0.502 0.927
As: 0.393 0.498 0.427
S: 0.548 0.969 0.530
S: 0.548 0.031 0.030
S: 0.982 0.322 0.641
S: 0.982 0.678 0.141
S: 0.853 0.469 0.898
S: 0.853 0.531 0.398
S: 0.419 0.821 0.787
S: 0.419 0.179 0.287
O: 0.039 0.860 0.590
O: 0.039 0.140 0.090
O: 0.363 0.359 0.838
O: 0.363 0.641 0.338
O: 0.724 0.976 0.477
O: 0.724 0.024 0.977
O: 0.629 0.858 0.606
O: 0.629 0.142 0.106
O: 0.392 0.839 0.490
O: 0.392 0.161 0.990
O: 0.481 0.171 0.547
O: 0.481 0.829 0.047
O: 0.981 0.262 0.554
O: 0.981 0.738 0.054
O: 0.881 0.147 0.682
O: 0.881 0.853 0.182
O: 0.847 0.495 0.645
O: 0.847 0.505 0.145
O: 0.188 0.352 0.675
O: 0.188 0.648 0.175
O: 0.773 0.358 0.822
O: 0.773 0.642 0.322
O: 0.677 0.475 0.951
O: 0.677 0.525 0.451
O: 0.009 0.339 0.938
O: 0.009 0.661 0.438
O: 0.920 0.671 0.881
O: 0.920 0.329 0.381
O: 0.521 0.647 0.746
O: 0.521 0.353 0.246
O: 0.420 0.762 0.874
O: 0.420 0.238 0.374
O: 0.555 0.995 0.784
O: 0.555 0.005 0.284
O: 0.213 0.852 0.753
O: 0.213 0.148 0.253